Record 1
Here is a relaxed Li2HgCl crystal from the Alexandria database. Energies are from PBE.

Cell lengths 6.9384, 6.9384, 6.9384 Å; angles 90.00, 90.00, 90.00 degrees
Space group Fm-3m (No. 225)
Symmetry-distinct sites (fractional):
Li 0.2500 0.2500 0.2500 x8
Hg 0.0000 0.0000 0.0000 x4
Cl 0.0000 0.0000 0.5000 x4

Computed properties:
energy relative to the lowest polymorph listed for this composition: 311.5 meV/atom
density: 4.97 g cm⁻³
uncorrected formation energy: -0.629 eV per atom

Record 2
Here is a relaxed LiHg2Cl2 crystal from the Alexandria database. Energies are from PBE.

Cell lengths 3.9463, 3.9463, 16.9850 Å; angles 90.00, 90.00, 90.00 degrees
Space group I4/mmm (No. 139)
Symmetry-distinct sites (fractional):
Li 0.0000 0.0000 0.0000 x2
Hg 0.0000 0.5000 0.2500 x4
Cl 0.0000 0.0000 0.4059 x4

Computed properties:
energy relative to the lowest polymorph listed for this composition: 101.0 meV/atom
density: 6.01 g cm⁻³
uncorrected formation energy: -0.589 eV per atom

Record 3
Here is a relaxed Li2HgCl crystal from the Alexandria database. Energies are from PBE.

Cell lengths 5.9351, 3.4289, 7.9797 Å; angles 90.00, 104.26, 90.00 degrees
Space group C2/m (No. 12)
Symmetry-distinct sites (fractional):
Li 0.2316 0.0000 0.1967 x4
Hg 0.0000 0.0000 0.5000 x2
Cl 0.0000 0.5000 0.0000 x2

Computed properties:
energy relative to the lowest polymorph listed for this composition: 0.0 meV/atom
density: 5.27 g cm⁻³
uncorrected formation energy: -0.940 eV per atom

Record 4
Here is a relaxed Li2HgCl crystal from the Alexandria database. Energies are from PBE.

Cell lengths 3.1676, 3.1676, 7.5423 Å; angles 90.00, 90.00, 90.00 degrees
Space group P4/mmm (No. 123)
Symmetry-distinct sites (fractional):
Li 0.0000 0.0000 0.2038 x2
Hg 0.5000 0.5000 0.5000 x1
Cl 0.5000 0.5000 0.0000 x1

Computed properties:
energy relative to the lowest polymorph listed for this composition: 85.6 meV/atom
density: 5.48 g cm⁻³
uncorrected formation energy: -0.855 eV per atom

Record 5
Here is a relaxed LiHg2Cl2 crystal from the Alexandria database. Energies are from PBE.

Cell lengths 6.9593, 6.9593, 5.5828 Å; angles 90.00, 90.00, 90.00 degrees
Space group P4/mbm (No. 127)
Symmetry-distinct sites (fractional):
Li 0.0000 0.0000 0.0000 x2
Hg 0.1448 0.3552 0.5000 x4
Cl 0.2288 0.2712 0.0000 x4

Computed properties:
energy relative to the lowest polymorph listed for this composition: 0.0 meV/atom
density: 5.88 g cm⁻³
uncorrected formation energy: -0.690 eV per atom

Record 6
Here is a relaxed Li2HgCl4 crystal from the Alexandria database. Energies are from PBE.

Cell lengths 5.6237, 5.6237, 5.7448 Å; angles 90.00, 90.00, 90.00 degrees
Space group P-42m (No. 111)
Symmetry-distinct sites (fractional):
Li 0.0000 0.5000 0.0000 x2
Hg 0.0000 0.0000 0.5000 x1
Cl 0.2567 0.2567 0.7669 x4

Computed properties:
energy relative to the lowest polymorph listed for this composition: 0.0 meV/atom
density: 3.26 g cm⁻³
uncorrected formation energy: -1.277 eV per atom

Record 7
Here is a relaxed LiHg2Cl5 crystal from the Alexandria database. Energies are from PBE.

Cell lengths 5.3620, 13.2651, 12.4757 Å; angles 90.00, 90.00, 90.00 degrees
Space group Cmcm (No. 63)
Symmetry-distinct sites (fractional):
Li 0.0000 0.2200 0.2500 x4
Hg 0.0000 0.1341 0.5679 x8
Cl 0.0000 0.0659 0.1221 x8
Cl 0.0000 0.2368 0.7500 x4
Cl 0.0000 0.3254 0.0789 x8

Computed properties:
energy relative to the lowest polymorph listed for this composition: 29.3 meV/atom
density: 4.38 g cm⁻³
uncorrected formation energy: -0.831 eV per atom

Record 8
Here is a relaxed Li2MgHgCl6 crystal from the Alexandria database. Energies are from PBE.

Cell lengths 6.5064, 6.5106, 7.0136 Å; angles 90.06, 117.60, 119.97 degrees
Space group P1 (No. 1)
Symmetry-distinct sites (fractional):
Li 0.0000 0.0000 0.0000 x1
Li 0.0275 0.5133 0.5413 x1
Mg 0.4001 0.1990 0.6006 x1
Hg 0.4212 0.7097 0.1313 x1
Cl 0.1902 0.7928 0.3165 x1
Cl 0.2072 0.9244 0.8033 x1
Cl 0.5208 0.5953 0.8034 x1
Cl 0.5232 0.3960 0.3168 x1
Cl 0.8782 0.2819 0.8033 x1
Cl 0.9200 0.1259 0.3166 x1

Computed properties:
density: 3.45 g cm⁻³
uncorrected formation energy: -1.417 eV per atom